# PBE+U Tl2NiIO6, relaxed
# - Energy: -43.59 eV/cell
# - Spin magnetization: 1.88 μB/f.u.
data_Tl2NiIO6
_chemical_formula_sum 'Tl2 Ni1 I1 O6'
_symmetry_space_group_name_H-M 'P 1'
_symmetry_Int_Tables_number 1
_cell_length_a 5.423
_cell_length_b 5.702
_cell_length_c 5.950
_cell_angle_alpha 63.26
_cell_angle_beta 63.82
_cell_angle_gamma 86.84
loop_
_symmetry_equiv_pos_as_xyz
'x,y,z'
loop_
_atom_site_label
_atom_site_fract_x
_atom_site_fract_y
_atom_site_fract_z
Tl1 0.000 0.000 0.000
Tl2 0.414 0.461 0.039
Ni1 0.680 0.213 0.583
I1 0.186 0.745 0.521
O1 0.002 0.079 0.359
O2 0.339 0.407 0.678
O3 0.379 0.914 0.713
O4 0.625 0.091 0.978
O5 0.894 0.631 0.886
O6 0.994 0.583 0.396